Entry 1:
Here is a relaxed structure of Sr2AsSe4 from Alexandria. Energies are from PBE-GGA.

Summary:
E_tot: -29.723 eV per formula unit

Geometry as CIF:
```
data_Sr2AsSe4
_chemical_formula_sum 'Sr4 As2 Se8'
_space_group_name_H-M_alt 'P 1 21/m 1'
_space_group_IT_number 11
_cell_length_a 7.098
_cell_length_b 6.950
_cell_length_c 8.574
_cell_angle_alpha 90.00
_cell_angle_beta 107.36
_cell_angle_gamma 90.00
loop_
_space_group_symop_operation_xyz
'x,y,z'
'-x,-y,-z'
'-x,y+1/2,-z'
'x,-y+1/2,z'
loop_
_atom_site_label
_atom_site_type_symbol
_atom_site_fract_x
_atom_site_fract_y
_atom_site_fract_z
Sr1 Sr 0.238 0.250 0.053
Sr2 Sr 0.253 0.250 0.568
As1 As 0.244 0.750 0.312
Se1 Se 0.006 0.008 0.256
Se2 Se 0.388 0.750 0.076
Se3 Se 0.407 0.750 0.621
```

Entry 2:
Here is a relaxed structure of Sr2AsSe from Alexandria. Energies are from PBE-GGA.

Summary:
relative energy among the computed polymorphs: 0.912 eV/atom
E_tot: -13.488 eV per formula unit

Geometry as CIF:
```
data_Sr2AsSe
_chemical_formula_sum 'Sr8 As4 Se4'
_space_group_name_H-M_alt 'F -4 3 m'
_space_group_IT_number 216
_space_group_name_Hall 'F -4 2 3'
_cell_length_a 7.621
_cell_length_b 7.621
_cell_length_c 7.621
_cell_angle_alpha 90.00
_cell_angle_beta 90.00
_cell_angle_gamma 90.00
loop_
_atom_site_label
_atom_site_type_symbol
_atom_site_fract_x
_atom_site_fract_y
_atom_site_fract_z
Sr1 Sr 0.000 0.000 0.000
Sr2 Sr 0.250 0.250 0.250
As1 As 0.000 0.000 0.500
Se1 Se 0.250 0.250 0.750
```

Entry 3:
Here is a relaxed structure of SrAsSe2 from Alexandria. Energies are from PBE-GGA.

Summary:
E_tot: -16.996 eV per formula unit

Geometry as CIF:
```
data_SrAsSe2
_chemical_formula_sum 'Sr2 As2 Se4'
_space_group_name_H-M_alt 'A m m 2'
_space_group_IT_number 38
_cell_length_a 4.491
_cell_length_b 4.081
_cell_length_c 11.345
_cell_angle_alpha 90.00
_cell_angle_beta 90.00
_cell_angle_gamma 90.00
loop_
_space_group_symop_operation_xyz
'x,y,z'
'-x,-y,z'
'-x,y,z'
'x,-y,z'
'x,y+1/2,z+1/2'
'-x,-y+1/2,z+1/2'
'-x,y+1/2,z+1/2'
'x,-y+1/2,z+1/2'
loop_
_atom_site_label
_atom_site_type_symbol
_atom_site_fract_x
_atom_site_fract_y
_atom_site_fract_z
Sr1 Sr 0.000 0.000 0.000
As1 As 0.500 0.000 0.230
Se1 Se 0.000 0.000 0.717
Se2 Se 0.500 0.000 0.442
```

Entry 4:
Here is a relaxed structure of Sr8As5Se from Alexandria. Energies are from PBE-GGA.

Summary:
E_tot: -57.724 eV per formula unit

Geometry as CIF:
```
data_Sr8As5Se
_chemical_formula_sum 'Sr16 As10 Se2'
_space_group_name_H-M_alt 'I -4'
_space_group_IT_number 82
_cell_length_a 9.497
_cell_length_b 9.497
_cell_length_c 9.506
_cell_angle_alpha 90.00
_cell_angle_beta 90.00
_cell_angle_gamma 90.00
loop_
_space_group_symop_operation_xyz
'x,y,z'
'y,-x,-z'
'-x,-y,z'
'-y,x,-z'
'x+1/2,y+1/2,z+1/2'
'y+1/2,-x+1/2,-z+1/2'
'-x+1/2,-y+1/2,z+1/2'
'-y+1/2,x+1/2,-z+1/2'
loop_
_atom_site_label
_atom_site_type_symbol
_atom_site_fract_x
_atom_site_fract_y
_atom_site_fract_z
Sr1 Sr 0.067 0.181 0.307
Sr2 Sr 0.070 0.317 0.938
As1 As 0.000 0.000 0.000
As2 As 0.128 0.250 0.622
Se1 Se 0.000 0.500 0.250
```

The highest E_tot belongs to which entry? Sr2AsSe